# 1
VASP calculation (PBE) on a relaxed RbAsPdBr2 crystal.

Output
Formation energy (no corrections) ... -0.48 eV per atom
Crystal system ... tetragonal
Calculated total energy ... -3.313 eV/atom

a b c (Å): 5.652 5.652 4.718
angles (deg): 90.00 90.00 90.00
Site moments in Bohr magnetons follow the coordinates.
Atoms (fractional coordinates):
As 0.000 0.000 0.500  0.25
Br 0.000 0.500 0.000  0.04
Br 0.500 0.000 0.000  0.04
Rb 0.500 0.500 0.500  0.00
Pd 0.000 0.000 0.000  0.02


# 2
VASP calculation (PBE) on a relaxed ReAsPdBr2 crystal.

Output
Formation energy (no corrections) ... 0.83 eV per atom
Crystal system ... tetragonal
Calculated total energy ... -4.296 eV/atom

a b c (Å): 5.176 5.176 4.747
angles (deg): 90.00 90.00 90.00
Site moments in Bohr magnetons follow the coordinates.
Atoms (fractional coordinates):
Re 0.000 0.000 0.000  1.10
As 0.000 0.000 0.500  -0.08
Br 0.000 0.500 0.000  0.05
Br 0.500 0.000 0.000  0.05
Pd 0.500 0.500 0.500  -0.11


# 3
VASP calculation (PBE) on a relaxed AsPd2RuBr crystal.

Output
Formation energy (no corrections) ... 0.78 eV per atom
Crystal system ... tetragonal
Calculated total energy ... -4.412 eV/atom

a b c (Å): 5.015 4.559 5.015
angles (deg): 90.00 90.00 90.00
Atoms (fractional coordinates):
Ru 0.000 0.000 0.000
As 0.000 0.500 0.000
Br 0.500 0.500 0.500
Pd 0.000 0.000 0.500
Pd 0.500 0.000 0.000


# 4
VASP calculation (PBE) on a relaxed As2PdRuBr crystal.

Output
Formation energy (no corrections) ... 0.58 eV per atom
Crystal system ... tetragonal
Calculated total energy ... -4.506 eV/atom

a b c (Å): 4.672 4.672 5.316
angles (deg): 90.00 90.00 90.00
Atoms (fractional coordinates):
Ru 0.000 0.000 0.000
As 0.000 0.500 0.000
As 0.500 0.000 0.000
Br 0.000 0.000 0.500
Pd 0.500 0.500 0.500


Q: Which of these has the lowest calculated total energy?
A: As2PdRuBr


Q: formation energy (no corrections) of number 4 (As2PdRuBr)?
A: 0.58 eV per atom


Q: What is the formula in the second record?
A: ReAsPdBr2


Q: Which of these has the lowest calculated total energy?
A: As2PdRuBr